1.
The following is a PBE-GGA calculation of a relaxed V2CrCuH crystal, from Alexandria via LeMat-Bulk.

Cell lengths 4.5001, 3.0899, 4.5001 Å; angles 90.00, 90.00, 90.00 degrees
With the nearest neighbours (Å) after each atom.
Fractional positions:
V1 0.0000 0.0000 0.5000  2 Cr 2.25
H1 0.0000 0.5000 0.0000  2 Cr 1.54
Cr1 0.0000 0.0000 0.0000  2 H 1.54
V2 0.5000 0.0000 0.0000  2 Cr 2.25
Cu1 0.5000 0.5000 0.5000  8 V 2.73

Values from the calculation:
- E_tot: -31.17 eV for the cell shown
- E above lowest polymorph: 0.7588 eV per atom

2.
The following is a PBE-GGA calculation of a relaxed Ce3ZnP2Ir9 crystal, from Alexandria via LeMat-Bulk.

Cell lengths 7.0506, 7.0506, 6.5517 Å; angles 90.00, 90.00, 120.00 degrees
With the nearest neighbours (Å) after each atom.
Fractional positions:
P1 0.3333 0.6667 0.1485  6 Ir 2.26-2.28
Ir1 0.5000 0.5000 0.0000  2 P 2.26
Ir2 0.8111 0.6221 0.6320  1 P 2.28, 1 Zn 2.46
Ir3 0.1889 0.3779 0.3680  1 P 2.28, 1 Zn 2.46
Ir4 0.6221 0.8111 0.3680  1 P 2.28, 1 Zn 2.46
Ce1 0.6667 0.3333 0.3101  6 Ir 2.75-2.88, 1 P 3.00
Ce2 0.3333 0.6667 0.6899  6 Ir 2.75-2.88, 1 P 3.00
Ir5 0.5000 0.0000 0.0000  2 P 2.26
Zn1 0.0000 0.0000 0.5000  6 Ir 2.46
Ce3 0.0000 0.0000 0.0000  2 Zn 3.28, 12 Ir 3.34-3.53
Ir6 0.3779 0.1889 0.6320  1 P 2.28, 1 Zn 2.46
Ir7 0.1889 0.8111 0.3680  1 P 2.28, 1 Zn 2.46
Ir8 0.8111 0.1889 0.6320  1 P 2.28, 1 Zn 2.46
Ir9 0.0000 0.5000 0.0000  2 P 2.26
P2 0.6667 0.3333 0.8515  6 Ir 2.26-2.28

Values from the calculation:
- E_tot: -113.77 eV for the cell shown
- E_form: -0.275 eV/atom

3.
The following is a PBE-GGA calculation of a relaxed Ga2BiS4 crystal, from Alexandria via LeMat-Bulk.

Cell lengths 7.6911, 7.6911, 12.2492 Å; angles 90.00, 90.00, 90.00 degrees
With the nearest neighbours (Å) after each atom.
Fractional positions:
S1 0.8433 0.3377 0.8751  2 Ga 2.31-2.32
Ga1 0.0000 0.5000 0.7500  4 S 2.32
Ga2 0.0000 0.5000 0.0000  4 S 2.31
Ga3 0.0000 0.5000 0.2500  4 S 2.32
Bi1 0.5000 0.5000 0.3710  4 S 2.86, 1 Bi 3.16
S2 0.3433 0.1623 0.3751  2 Ga 2.31-2.32
S3 0.3377 0.1567 0.8751  2 Ga 2.31-2.32
S4 0.8433 0.6623 0.1249  2 Ga 2.31-2.32
Ga4 0.5000 0.0000 0.5000  4 S 2.31
Bi2 0.5000 0.5000 0.6290  4 S 2.86, 1 Bi 3.16
S5 0.8377 0.3433 0.3751  2 Ga 2.31-2.32
S6 0.1567 0.6623 0.8751  2 Ga 2.31-2.32
Ga5 0.0000 0.5000 0.5000  4 S 2.31
S7 0.1567 0.3377 0.1249  2 Ga 2.31-2.32
S8 0.8377 0.6567 0.6249  2 Ga 2.31-2.32
S9 0.3433 0.8377 0.6249  2 Ga 2.31-2.32
S10 0.6567 0.8377 0.3751  2 Ga 2.31-2.32
Bi3 0.0000 0.0000 0.8710  4 S 2.86, 1 Bi 3.16
S11 0.1623 0.3433 0.6249  2 Ga 2.31-2.32
S12 0.3377 0.8433 0.1249  2 Ga 2.31-2.32
S13 0.1623 0.6567 0.3751  2 Ga 2.31-2.32
Ga6 0.5000 0.0000 0.0000  4 S 2.31
Ga7 0.5000 0.0000 0.7500  4 S 2.32
S14 0.6623 0.8433 0.8751  2 Ga 2.31-2.32
S15 0.6567 0.1623 0.6249  2 Ga 2.31-2.32
Ga8 0.5000 0.0000 0.2500  4 S 2.32
Bi4 0.0000 0.0000 0.1290  4 S 2.86, 1 Bi 3.16
S16 0.6623 0.1567 0.1249  2 Ga 2.31-2.32

Values from the calculation:
- E_tot: -122.51 eV for the cell shown
- E above lowest polymorph: 0.0000 eV per atom

4.
The following is a PBE-GGA calculation of a relaxed UAgPdS4 crystal, from Alexandria via LeMat-Bulk.

Cell lengths 8.1424, 7.2546, 7.9235 Å; angles 123.10, 90.00, 124.14 degrees
With the nearest neighbours (Å) after each atom.
Fractional positions:
Pd1 0.5000 0.0000 0.0000  6 S 2.50-2.56
S1 0.7753 0.5505 0.3083  1 Pd 2.50, 2 U 2.67, 1 Ag 2.71
U1 0.0000 0.5000 0.5000  6 S 2.58-2.67
S2 0.6642 0.9371 0.2185  1 Ag 2.49, 2 Pd 2.56, 1 U 2.58
U2 0.5000 0.5000 0.5000  6 S 2.58-2.67
Ag1 0.9432 0.8864 0.1932  4 S 2.49-2.71
Pd2 0.5000 0.0000 0.5000  6 S 2.50-2.56
S3 0.2247 0.4495 0.2578  1 Pd 2.50, 2 U 2.67, 1 Ag 2.71
S4 0.2247 0.4495 0.6917  1 Pd 2.50, 2 U 2.67, 1 Ag 2.71
S5 0.7753 0.5505 0.7422  1 Pd 2.50, 2 U 2.67, 1 Ag 2.71
S6 0.2729 0.9371 0.2185  1 Ag 2.49, 2 Pd 2.56, 1 U 2.58
S7 0.3358 0.0629 0.7815  1 Ag 2.49, 2 Pd 2.56, 1 U 2.58
Ag2 0.0568 0.1136 0.8068  4 S 2.49-2.71
S8 0.7271 0.0629 0.7815  1 Ag 2.49, 2 Pd 2.56, 1 U 2.58

Values from the calculation:
- E_tot: -81.66 eV for the cell shown